No. 1
Material: Ba2BeAgCl6
Method: DFT, PBE-GGA
State: optimized geometry

Results
**M_tot**: 1.0 Bohr magnetons per cell
**Raw formation energy**: -1.569 eV/atom

Cell lengths 6.1081, 6.5246, 8.4156 Å; angles 100.28, 110.32, 105.48 degrees
Space group P-1 (No. 2)
Unique sites:
1 Ba 0.1257 0.3510 0.2530 (multiplicity 2)
2 Be 0.5000 0.0000 0.5000 (multiplicity 1)
3 Ag 0.5000 0.5000 0.0000 (multiplicity 1)
4 Cl 0.0624 0.8090 0.1591 (multiplicity 2)
5 Cl 0.3295 0.7157 0.6372 (multiplicity 2)
6 Cl 0.3530 0.1958 0.5927 (multiplicity 2)

No. 2
Material: Ce6NdAs8
Method: DFT, PBE-GGA
State: optimized geometry

Results
**M_tot**: 11.3 Bohr magnetons per cell
**E_tot**: -0.2348 hartree per atom

Cell lengths 11.8831, 11.8831, 11.8831 Å; angles 90.00, 90.00, 90.00 degrees
Space group Fm-3m (No. 225)
Unique sites:
1 Ce 0.0000 0.2500 0.2500 (multiplicity 24)
2 Nd 0.0000 0.0000 0.0000 (multiplicity 4)
3 As 0.0000 0.0000 0.2520 (multiplicity 24)
4 As 0.2500 0.2500 0.2500 (multiplicity 8)

No. 3
Material: AlTeCI2
Method: DFT, PBE-GGA
State: optimized geometry

Results
**M_tot**: 1.2 Bohr magnetons per cell
**Raw formation energy**: 1.438 eV/atom
**Distance to the lowest polymorph of the same formula**: 386.4 meV/atom

Cell lengths 5.4989, 5.4989, 5.4930 Å; angles 90.00, 90.00, 90.00 degrees
Space group P4/mmm (No. 123)
Unique sites:
1 Al 0.0000 0.0000 0.0000 (multiplicity 1)
2 Te 0.0000 0.0000 0.5000 (multiplicity 1)
3 C 0.5000 0.5000 0.5000 (multiplicity 1)
4 I 0.0000 0.5000 0.0000 (multiplicity 2)

No. 4
Material: PmPr2Nb
Method: DFT, PBE-GGA
State: optimized geometry

Results
**M_tot**: 0.0 Bohr magnetons per cell
**E_tot**: -0.2015 hartree per atom

Cell lengths 3.3761, 3.3761, 36.3125 Å; angles 90.00, 90.00, 120.00 degrees
Space group R-3m (No. 166, hexagonal axes)
Unique sites:
1 Pm 0.0000 0.0000 0.0000 (multiplicity 3)
2 Pr 0.0000 0.0000 0.4195 (multiplicity 6)
3 Nb 0.0000 0.0000 0.5000 (multiplicity 3)

No. 5
Material: MgZn2In
Method: DFT, PBE-GGA
State: optimized geometry

Results
**M_tot**: 0.0 Bohr magnetons per cell
**E_tot**: -0.0625 hartree per atom

Cell lengths 9.0707, 3.3248, 5.3000 Å; angles 90.00, 99.84, 90.00 degrees
Space group C2/m (No. 12)
Unique sites:
1 Mg 0.0000 0.0000 0.0000 (multiplicity 2)
2 Zn 0.2453 0.5000 0.2223 (multiplicity 4)
3 In 0.0000 0.5000 0.5000 (multiplicity 2)

No. 6
Material: Pb3ClO2
Method: DFT, PBE-GGA
State: optimized geometry

Results
**M_tot**: 0.0 Bohr magnetons per cell
**Raw formation energy**: -0.955 eV/atom

Cell lengths 7.3916, 5.8273, 7.4427 Å; angles 90.00, 95.98, 90.00 degrees
Space group P2_1/m (No. 11)
Unique sites:
1 Pb 0.0465 0.2500 0.1044 (multiplicity 2)
2 Pb 0.1520 0.2500 0.5961 (multiplicity 2)
3 Pb 0.3270 0.7500 0.2844 (multiplicity 2)
4 Cl 0.4454 0.7500 0.6612 (multiplicity 2)
5 O 0.0946 0.5007 0.3376 (multiplicity 4)

No. 7
Material: Li3AcPt
Method: DFT, PBE-GGA
State: optimized geometry

Results
**M_tot**: 0.0 Bohr magnetons per cell
**E_tot**: -0.1268 hartree per atom

Cell lengths 4.8411, 4.8540, 10.3628 Å; angles 90.00, 90.00, 90.00 degrees
Space group Amm2 (No. 38)
Unique sites:
1 Li 0.0000 0.0000 0.0000 (multiplicity 2)
2 Li 0.0000 0.0000 0.2496 (multiplicity 2)
3 Li 0.5000 0.0000 0.4693 (multiplicity 2)
4 Ac 0.5000 0.0000 0.7625 (multiplicity 2)
5 Pt 0.5000 0.0000 0.0846 (multiplicity 2)

No. 8
Material: Ga2CuAu
Method: DFT, PBE-GGA
State: optimized geometry

Results
**M_tot**: 0.0 Bohr magnetons per cell
**Distance to the lowest polymorph of the same formula**: 63.4 meV/atom

Cell lengths 4.0240, 4.0240, 17.3508 Å; angles 90.00, 90.00, 90.00 degrees
Space group I-42d (No. 122)
Unique sites:
1 Ga 0.2292 0.2500 0.1250 (multiplicity 8)
2 Cu 0.0000 0.0000 0.0000 (multiplicity 4)
3 Au 0.0000 0.0000 0.5000 (multiplicity 4)

No. 9
Material: ErAgI4
Method: DFT, PBE-GGA
State: optimized geometry

Results
**M_tot**: 0.0 Bohr magnetons per cell
**Raw formation energy**: -0.974 eV/atom
**Distance to the lowest polymorph of the same formula**: 0.0 meV/atom

Cell lengths 7.7335, 4.3383, 7.7374 Å; angles 90.00, 98.84, 90.00 degrees
Space group P2/m (No. 10)
Unique sites:
1 Er 0.0000 0.0000 0.0000 (multiplicity 1)
2 Ag 0.5000 0.5000 0.0000 (multiplicity 1)
3 I 0.1763 0.5000 0.2417 (multiplicity 2)
4 I 0.2970 0.0000 0.7911 (multiplicity 2)

No. 10
Material: Cd2HgPd2
Method: DFT, PBE-GGA
State: optimized geometry

Results
**M_tot**: 0.0 Bohr magnetons per cell
**Distance to the lowest polymorph of the same formula**: 82.5 meV/atom

Cell lengths 7.9738, 7.9738, 3.0425 Å; angles 90.00, 90.00, 90.00 degrees
Space group P4/mbm (No. 127)
Unique sites:
1 Cd 0.1408 0.3592 0.0000 (multiplicity 4)
2 Hg 0.0000 0.0000 0.0000 (multiplicity 2)
3 Pd 0.1545 0.6545 0.5000 (multiplicity 4)

No. 11
Material: ScIn2PdO6
Method: DFT, PBE-GGA
State: optimized geometry

Results
**M_tot**: 1.0 Bohr magnetons per cell
**Raw formation energy**: -1.651 eV/atom

Cell lengths 5.3956, 5.5008, 5.7151 Å; angles 62.41, 89.69, 61.36 degrees
Space group P1 (No. 1)
Unique sites:
1 Sc 0.0000 0.0000 0.0000 (multiplicity 1)
2 In 0.2812 0.4377 0.8503 (multiplicity 1)
3 In 0.7841 0.4296 0.3659 (multiplicity 1)
4 Pd 0.4876 0.0170 0.4773 (multiplicity 1)
5 O 0.0828 0.5384 0.1677 (multiplicity 1)
6 O 0.2083 0.9125 0.6930 (multiplicity 1)
7 O 0.3810 0.9068 0.2056 (multiplicity 1)
8 O 0.6014 0.1866 0.6896 (multiplicity 1)
9 O 0.6970 0.1899 0.1964 (multiplicity 1)
10 O 0.8910 0.4858 0.7016 (multiplicity 1)

No. 12
Material: Ba2CdHg4
Method: DFT, PBE-GGA
State: optimized geometry

Results
**M_tot**: 0.0 Bohr magnetons per cell
**Distance to the lowest polymorph of the same formula**: 0.0 meV/atom

Cell lengths 6.6426, 6.9465, 10.0003 Å; angles 90.00, 103.62, 90.00 degrees
Space group P2_1/m (No. 11)
Unique sites:
1 Ba 0.1382 0.2500 0.4112 (multiplicity 2)
2 Ba 0.2913 0.7500 0.0279 (multiplicity 2)
3 Cd 0.1163 0.2500 0.7843 (multiplicity 2)
4 Hg 0.2411 0.2500 0.0888 (multiplicity 2)
5 Hg 0.3033 0.7500 0.4037 (multiplicity 2)
6 Hg 0.3988 0.5328 0.6979 (multiplicity 4)

No. 13
Material: BiPd2S
Method: DFT, PBE-GGA
State: optimized geometry

Results
**M_tot**: 0.0 Bohr magnetons per cell
**Raw formation energy**: -0.143 eV/atom

Cell lengths 3.8985, 3.8985, 17.8262 Å; angles 90.00, 90.00, 120.00 degrees
Space group R-3m (No. 166, hexagonal axes)
Unique sites:
1 Bi 0.0000 0.0000 0.0000 (multiplicity 3)
2 Pd 0.0000 0.0000 0.2292 (multiplicity 6)
3 S 0.0000 0.0000 0.5000 (multiplicity 3)